[1]
RbInPt2Rh after structural relaxation, computed with PBE.

As for the calculated total energy: -21.10 eV/cell. The value obtained for the spin magnetization is 1.72 Bohr magnetons per cell. The calculation puts the formation energy at 0.407 eV/atom. The calculation puts the volume at 26.254 A^3/atom.

The space group is P4/mmm (No. 123) and the conventional cell measures 5.082, 5.082 and 5.083 Å, with angles of 90.00, 90.00 and 90.00 degrees. The inequivalent atoms are Rb at (0.000, 0.000, 0.000), In at (0.500, 0.500, 0.000), Pt at (0.000, 0.500, 0.500) and Rh at (0.500, 0.500, 0.500).

[2]
LiAl2IrBr after structural relaxation, computed with PBE.

As for the calculated total energy: -16.16 eV/cell. The value obtained for the spin magnetization is 0.00 Bohr magnetons per cell. The calculation puts the volume at 19.788 A^3/atom.

The space group is P4/mmm (No. 123) and the conventional cell measures 4.925, 4.925 and 4.080 Å, with angles of 90.00, 90.00 and 90.00 degrees. The inequivalent atoms are Li at (0.000, 0.000, 0.000), Al at (0.000, 0.500, 0.500), Ir at (0.500, 0.500, 0.000) and Br at (0.000, 0.000, 0.500).

[3]
TaTc2Ag after structural relaxation, computed with PBE.

As for the calculated total energy: -68.92 eV/cell. The value obtained for the spin magnetization is 0.00 Bohr magnetons per cell. The calculation puts the formation energy at 0.244 eV/atom. The calculation puts the volume at 16.166 A^3/atom.

The space group is Imm2 (No. 44) and the conventional cell measures 3.282, 4.420 and 8.915 Å, with angles of 90.00, 90.00 and 90.00 degrees. The inequivalent atoms are Ta at (0.000, 0.000, 0.000), Tc at (0.000, 0.000, 0.467), Tc at (0.000, 0.500, 0.734) and Ag at (0.000, 0.500, 0.234).

[4]
Zr3BiF after structural relaxation, computed with PBE.

As for the calculated total energy: -26.24 eV/cell. The value obtained for the spin magnetization is 5.00 Bohr magnetons per cell. The calculation puts the volume at 34.021 A^3/atom.

The space group is Pm-3m (No. 221) and the conventional cell measures 5.541, 5.541 and 5.541 Å, with angles of 90.00, 90.00 and 90.00 degrees. The inequivalent atoms are Zr at (0.000, 0.000, 0.500), Bi at (0.000, 0.000, 0.000) and F at (0.500, 0.500, 0.500).

[5]
Li3PrCu3 after structural relaxation, computed with PBE.

As for the calculated total energy: -41.10 eV/cell. The value obtained for the spin magnetization is 0.00 Bohr magnetons per cell. The calculation puts the formation energy at 0.323 eV/atom. The calculation puts the volume at 19.045 A^3/atom.

The space group is Pm-3n (No. 223) and the conventional cell measures 6.436, 6.436 and 6.436 Å, with angles of 90.00, 90.00 and 90.00 degrees. The inequivalent atoms are Li at (0.000, 0.250, 0.500), Pr at (0.000, 0.000, 0.000) and Cu at (0.000, 0.500, 0.250).

[6]
Al4Ru5 after structural relaxation, computed with PBE.

As for the calculated total energy: -130.01 eV/cell. The value obtained for the spin magnetization is 0.00 Bohr magnetons per cell. The calculation puts the formation energy at -0.406 eV/atom. The calculation puts the volume at 13.929 A^3/atom.

The space group is P6_3/mcm (No. 193) and the conventional cell measures 7.5674, 7.5674 and 5.0554 Å, with angles of 90.00, 90.00 and 120.00 degrees. The inequivalent atoms are Al at (0.0000, 0.0000, 0.0000), Al at (0.0000, 0.3788, 0.2500), Ru at (0.0000, 0.2899, 0.7500) and Ru at (0.3333, 0.6667, 0.0000).